Below is a geometry-optimized HoSiPt3 structure, with properties calculated at the PBE-GGA level.

Values from the calculation:
* ΔE_f (raw): -1.028 eV per atom
* crystal system: orthorhombic

Cell: 5.671 4.545 7.119 Å, 90.00 90.00 90.00°
Fractional positions:
Ho (0.000, 0.031, 0.000)
Ho (0.500, 0.969, 0.500)
Si (0.000, 0.645, 0.526)
Si (0.500, 0.355, 0.026)
Pt (0.000, 0.123, 0.416)
Pt (0.243, 0.600, 0.230)
Pt (0.257, 0.400, 0.730)
Pt (0.500, 0.877, 0.916)
Pt (0.743, 0.400, 0.730)
Pt (0.757, 0.600, 0.230)